Computed, not measured: a relaxed structure of K2AuN at the PBE level of DFT.

abc: 11.6870 11.6870 8.4985
angles: 46.56 46.56 90.00
Closest atoms and distances in Å follow each position.
Element x y z (fractional)
K 0.8750 0.6391 0.7500  2 N 2.97, 2 Au 3.28
K 0.3891 0.1250 0.2500  2 N 2.97, 2 Au 3.28
K 0.3750 0.6109 0.7500  2 N 2.97, 2 Au 3.28
K 0.3609 0.6250 0.2500  2 N 2.97, 2 Au 3.28
N 0.5000 0.5000 0.0000  2 Au 1.98
N 0.2500 0.7500 0.5000  2 Au 1.98
Au 0.0000 0.0000 0.0000  2 N 1.98
Au 0.7500 0.2500 0.5000  2 N 1.98

Properties
The value obtained for the mass density is 3.55 g/cm3. Its space-group type is I-42d (122). As for the spin magnetization: 0.000 μB/f.u. The formation energy (no corrections) is 0.136 eV/atom. The value obtained for the density of states at the Fermi level is 4.4 states/eV per cell.